Entry 1:
Compound: AcLa3Pu2Te6
Source: the Alexandria database
Functional: PBE
Structure: relaxed

Formation energy without anion corrections, eV/atom: -1.407
Size of the total moment, μB per cell: 24.14

a b c (Å): 7.889 13.663 7.941
angles (deg): 90.00 109.39 90.00
Space group C2/m (No. 12)
Symmetry-distinct sites (fractional):
Ac 0.000 0.000 0.000 [2 per cell]
La 0.000 0.161 0.500 [4 per cell]
La 0.000 0.500 0.500 [2 per cell]
Pu 0.000 0.332 0.000 [4 per cell]
Te 0.235 0.500 0.242 [4 per cell]
Te 0.244 0.328 0.752 [8 per cell]



Entry 2:
Compound: Ca2AgBr
Source: the Alexandria database
Functional: PBE
Structure: relaxed

Energy above the most stable polymorph in this dataset, meV per atom: 143.1
Formation energy without anion corrections, eV/atom: -0.673
Size of the total moment, μB per cell: 0.00

a b c (Å): 5.547 5.547 3.542
angles (deg): 90.00 90.00 90.00
Space group P4/mmm (No. 123)
Symmetry-distinct sites (fractional):
Ca 0.000 0.500 0.000 [2 per cell]
Ag 0.000 0.000 0.500 [1 per cell]
Br 0.500 0.500 0.500 [1 per cell]